First-principles (PBE with a Hubbard U) data for crystalline CoTePdO at its relaxed geometry, as listed in OQMD.

Computed properties:
**SG**: Pbca
**Total energy**: -0.1748 Ha/atom
**ρ**: 7434 kg/m³

Cell and atoms, written as extended XYZ:
```
32
Lattice="6.6227 0.0000 0.0000 0.0000 10.9992 0.0000 0.0000 0.0000 7.5787" Properties=species:S:1:pos:R:3 pbc="T T T"
Co 1.5074 1.2643 0.1000
Co 1.5074 4.2353 3.8894
Co 1.8040 6.7639 0.1000
Co 1.8040 9.7349 3.8894
Co 4.8187 1.2643 3.6893
Co 4.8187 4.2353 7.4786
Co 5.1154 6.7639 3.6893
Co 5.1154 9.7349 7.4786
Te 0.0588 0.1291 5.6485
Te 0.0588 5.3705 1.8591
Te 3.2525 5.6287 5.6485
Te 3.2525 10.8701 1.8591
Te 3.3702 0.1291 5.7195
Te 3.3702 5.3705 1.9302
Te 6.5639 5.6287 5.7195
Te 6.5639 10.8701 1.9302
Pd 0.0232 8.0825 1.8505
Pd 0.0232 8.4163 5.6398
Pd 3.2882 2.5829 1.8505
Pd 3.2882 2.9167 5.6398
Pd 3.3345 8.0825 1.9389
Pd 3.3345 8.4163 5.7282
Pd 6.5996 2.5829 1.9389
Pd 6.5996 2.9167 5.7282
O 1.6339 8.0471 3.1094
O 1.6339 8.4517 6.8988
O 1.6775 2.5475 3.1094
O 1.6775 2.9521 6.8988
O 4.9452 8.0471 0.6799
O 4.9452 8.4517 4.4692
O 4.9889 2.5475 0.6799
O 4.9889 2.9521 4.4692
```